{"formula": "SmPaMn2S8", "functional": "GGA-PBE", "state": "relaxed", "total_energy_ev_per_atom": -6.37, "mass_density_kg_m3": 4747, "lattice": [[6.322, 0.000, 0.000], [0.000, 6.322, 0.000], [-3.161, -3.161, 6.545]], "species": ["Sm", "Pa", "Mn", "Mn", "S", "S", "S", "S", "S", "S", "S", "S"], "fractional_positions": [[0.750, 0.250, 0.500], [0.000, 0.000, 0.000], [0.500, 0.500, 0.000], [0.250, 0.750, 0.500], [0.734, 0.850, 0.142], [0.408, 0.292, 0.142], [0.604, 0.685, 0.655], [0.051, 0.969, 0.655], [0.031, 0.396, 0.345], [0.315, 0.949, 0.345], [0.150, 0.592, 0.858], [0.708, 0.266, 0.858]]}